w) YFeSiTc: relaxed, PBE.

Values from the calculation:
Symmetry: No. 216
Magnetic moment: 1.847 μB/f.u.

Unit cell a=4.4290 b=4.4290 c=4.4290 alpha=60.00 beta=60.00 gamma=60.00
Atoms (fractional coordinates):
1 Fe 0.7500 0.7500 0.7500
2 Si 0.0000 0.0000 0.0000
3 Tc 0.2500 0.2500 0.2500
4 Y 0.5000 0.5000 0.5000



x) YFeSiTc: relaxed, PBE.

Values from the calculation:
Symmetry: No. 216
Magnetic moment: 3.902 μB/f.u.

Unit cell a=4.5521 b=4.5521 c=4.5521 alpha=60.00 beta=60.00 gamma=60.00
Atoms (fractional coordinates):
1 Fe 0.7500 0.7500 0.7500
2 Tc 0.5000 0.5000 0.5000
3 Y 0.2500 0.2500 0.2500
4 Si 0.0000 0.0000 0.0000



Relative energies, unit kJ/mol of atoms: w) 0.0; x) 22.8